(1)
The following is a GGA-PBE calculation of a relaxed DyB6Rh12 crystal, from the Alexandria database.

The structure in POSCAR format:
```
DyB6Rh12
1.0
-0.552 6.460 0.234
-6.057 -2.153 0.878
3.057 -1.542 5.512
Dy B Rh
1 6 12
Direct
0.000 0.000 0.000 Dy
0.672 0.235 0.235 B
0.235 0.235 0.672 B
0.235 0.672 0.235 B
0.765 0.765 0.328 B
0.328 0.765 0.765 B
0.765 0.328 0.765 B
0.867 0.133 0.500 Rh
0.815 0.552 0.552 Rh
0.552 0.552 0.815 Rh
0.448 0.185 0.448 Rh
0.448 0.448 0.185 Rh
0.185 0.448 0.448 Rh
0.133 0.500 0.867 Rh
0.500 0.867 0.133 Rh
0.133 0.867 0.500 Rh
0.867 0.500 0.133 Rh
0.500 0.133 0.867 Rh
0.552 0.815 0.552 Rh
```

## Properties
ΔH_f (0 K) = -0.364 eV per atom
symmetry = R-3m (166)


(2)
The following is a GGA-PBE calculation of a relaxed NaLa2Zn9 crystal, from the Alexandria database.

The structure in POSCAR format:
```
NaLa2Zn9
1.0
5.611 0.000 0.000
2.806 4.859 0.000
2.806 1.620 8.753
Na La Zn
1 2 9
Direct
0.000 0.000 0.000 Na
0.858 0.858 0.427 La
0.142 0.142 0.573 La
0.665 0.665 0.004 Zn
0.335 0.335 0.996 Zn
0.500 0.500 0.500 Zn
0.418 0.418 0.242 Zn
0.922 0.418 0.242 Zn
0.418 0.922 0.242 Zn
0.582 0.582 0.758 Zn
0.582 0.078 0.758 Zn
0.078 0.582 0.758 Zn
```

## Properties
ΔH_f (0 K) = -0.162 eV per atom
symmetry = R-3m (166)


(3)
The following is a GGA-PBE calculation of a relaxed Be2SiAs crystal, from the Alexandria database.

The structure in POSCAR format:
```
Be2SiAs
1.0
-3.667 2.126 -1.083
-3.012 -1.998 2.464
3.790 1.739 1.322
Be As Si
2 1 1
Direct
0.000 0.000 0.000 Be
0.500 0.500 0.000 Be
0.750 0.250 0.500 As
0.250 0.750 0.500 Si
```

## Properties
ΔE_f (raw) = 52 kJ per mole of atoms
symmetry = I4/mmm (139)


(4)
The following is a GGA-PBE calculation of a relaxed NdTm2Th crystal, from the Alexandria database.

The structure in POSCAR format:
```
NdTm2Th
1.0
-0.984 -0.024 -3.438
-5.058 -3.103 1.469
-1.271 5.971 0.322
Nd Tm Th
1 2 1
Direct
0.500 0.500 0.500 Nd
0.000 0.500 0.000 Tm
0.000 0.000 0.500 Tm
0.500 0.000 0.000 Th
```

## Properties
ΔH_f (0 K) = 0.025 eV per atom
symmetry = Cmmm (65)


In eV/atom, the raw total energy values for the records above are, in order, -7.358 -2.048 -3.847 -5.257.